A plane-wave DFT calculation with GGA-PBE was carried out for crystalline TbErAu2 at its relaxed geometry.

a = 4.2277 Å, b = 4.2277 Å, c = 7.1654 Å
α = 72.84°, β = 72.84°, γ = 60.00°
Last column: nearest neighbours and their distance in Å.
Element x y z (fractional)
Tb 0.5000 0.5000 0.5000  6 Au 2.99
Au 0.7478 0.7478 0.7566  3 Er 2.94, 3 Tb 2.99
Au 0.2522 0.2522 0.2434  3 Er 2.94, 3 Tb 2.99
Er 0.0000 0.0000 0.0000  6 Au 2.94

## Properties
Formation energy from the elements: -0.739 eV/atom
Crystal system: trigonal
Total magnetic moment: 0.0000 μB/atom
Symmetry: R-3m
Relative energy among the computed polymorphs: 57 kJ/mol of formula units